Entry 1:
Entry from Alexandria via LeMat-Bulk: a geometry-optimized KMg2As structure (PBE).

Summary:
Raw total energy in eV/atom: -2.337
Density in g/cm3: 2.3
E_form in eV per atom: -0.10

```
data_KMg2As
_space_group_name_H-M_alt 'C 1 m 1'
_space_group_IT_number 8
_cell_length_a 8.534
_cell_length_b 3.325
_cell_length_c 8.292
_cell_angle_alpha 90.00
_cell_angle_beta 96.62
_cell_angle_gamma 90.00
loop_
_space_group_symop_operation_xyz
'x,y,z'
'x,-y,z'
'x+1/2,y+1/2,z'
'x+1/2,-y+1/2,z'
loop_
_atom_site_label
_atom_site_type_symbol
_atom_site_fract_x
_atom_site_fract_y
_atom_site_fract_z
_atom_site_occupancy
K1 K 0.000 0.000 0.000 1
Mg1 Mg 0.227 0.000 0.652 1
Mg2 Mg 0.475 0.000 0.424 1
As1 As 0.244 0.500 0.290 1
```


Entry 2:
Entry from Alexandria via LeMat-Bulk: a geometry-optimized Hg4PtCl2O structure (PBE).

Summary:
Raw total energy in eV/atom: -2.063
Density in g/cm3: 9.9
E_form (uncorrected) in eV per atom: -0.075

```
data_Hg4PtCl2O
_space_group_name_H-M_alt 'I m m a'
_space_group_IT_number 74
_space_group_name_Hall '-I 2b 2'
_cell_length_a 7.412
_cell_length_b 7.903
_cell_length_c 12.457
_cell_angle_alpha 90.00
_cell_angle_beta 90.00
_cell_angle_gamma 90.00
loop_
_atom_site_label
_atom_site_type_symbol
_atom_site_fract_x
_atom_site_fract_y
_atom_site_fract_z
_atom_site_occupancy
Hg1 Hg 0.000 0.009 0.211 1
Hg2 Hg 0.215 0.250 0.028 1
Pt1 Pt 0.250 0.250 0.250 1
Cl1 Cl 0.000 0.000 0.500 1
Cl2 Cl 0.250 0.250 0.750 1
O1 O 0.000 0.000 0.000 1
```


Entry 3:
Entry from Alexandria via LeMat-Bulk: a geometry-optimized SmDy3Ho6 structure (PBE).

Summary:
Raw total energy in eV/atom: -4.451
Density in g/cm3: 8.5
E_form in eV per atom: 0.15

```
data_SmDy3Ho6
_space_group_name_H-M_alt 'C m c 21'
_space_group_IT_number 36
_cell_length_a 10.982
_cell_length_b 18.870
_cell_length_c 6.165
_cell_angle_alpha 90.00
_cell_angle_beta 90.00
_cell_angle_gamma 90.00
loop_
_space_group_symop_operation_xyz
'x,y,z'
'-x,-y,z+1/2'
'-x,y,z'
'x,-y,z+1/2'
'x+1/2,y+1/2,z'
'-x+1/2,-y+1/2,z+1/2'
'-x+1/2,y+1/2,z'
'x+1/2,-y+1/2,z+1/2'
loop_
_atom_site_label
_atom_site_type_symbol
_atom_site_fract_x
_atom_site_fract_y
_atom_site_fract_z
_atom_site_occupancy
Sm1 Sm 0.000 0.207 0.000 1
Dy1 Dy 0.000 0.390 0.921 1
Dy2 Dy 0.172 0.109 0.308 1
Ho1 Ho 0.000 0.047 0.766 1
Ho2 Ho 0.000 0.283 0.492 1
Ho3 Ho 0.165 0.453 0.383 1
Ho4 Ho 0.250 0.210 0.715 1
```